Here is a geometry-optimized MnPtO3 structure from Alexandria. Energies are from GGA+U.

Values from the calculation:
- Volume: 66 Å³/cell
- SG: R3m
- E_tot: -6.051 eV per atom
- Crystal system: trigonal

a b c (Å): 4.056 4.056 4.056
angles (deg): 84.52 84.52 84.52
Sites, in units of the cell vectors:
1 Mn 0.000 0.000 0.000
2 Pt 0.631 0.631 0.631
3 O 0.490 0.969 0.969
4 O 0.969 0.490 0.969
5 O 0.969 0.969 0.490